Material: SrCa3Pr
Method: DFT, PBE
State: optimized geometry

Results
**N(E_F)**: 1.322 states/eV/atom
**Energy of formation from the pure elements**: 55 meV/atom

Geometry as CIF:
```
data_SrCa3Pr
_chemical_formula_sum 'Sr2 Ca6 Pr2'
_cell_length_a 7.025
_cell_length_b 6.032
_cell_length_c 11.216
_cell_angle_alpha 90.14
_cell_angle_beta 80.97
_cell_angle_gamma 64.89
_symmetry_space_group_name_H-M 'P 1'
_symmetry_Int_Tables_number 1
loop_
_symmetry_equiv_pos_as_xyz
'x,y,z'
loop_
_atom_site_label
_atom_site_type_symbol
_atom_site_fract_x
_atom_site_fract_y
_atom_site_fract_z
_atom_site_occupancy
Pr1 Pr 0.471 0.507 0.988 1
Pr2 Pr 0.897 0.793 0.067 1
Ca1 Ca 0.727 0.378 0.255 1
Ca2 Ca 0.641 0.922 0.800 1
Ca3 Ca 0.057 0.213 0.893 1
Ca4 Ca 0.311 0.086 0.161 1
Ca5 Ca 0.242 0.621 0.698 1
Ca6 Ca 0.126 0.679 0.356 1
Sr1 Sr 0.865 0.309 0.585 1
Sr2 Sr 0.503 0.991 0.469 1
```

***

Material: LiTlGa2Br4
Method: DFT, PBE
State: optimized geometry

Results
**E**: -47.00 eV/cell
**N(E_F)**: 0.000 states/eV/atom

Geometry as CIF:
```
data_LiTlGa2Br4
_chemical_formula_sum 'Li2 Tl2 Ga4 Br8'
_cell_length_a 8.920
_cell_length_b 8.920
_cell_length_c 8.900
_cell_angle_alpha 119.93
_cell_angle_beta 119.93
_cell_angle_gamma 89.84
_symmetry_space_group_name_H-M 'P 1'
_symmetry_Int_Tables_number 1
loop_
_symmetry_equiv_pos_as_xyz
'x,y,z'
loop_
_atom_site_label
_atom_site_type_symbol
_atom_site_fract_x
_atom_site_fract_y
_atom_site_fract_z
_atom_site_occupancy
Br1 Br 0.257 0.244 0.004 1
Br2 Br 0.229 0.797 0.013 1
Br3 Br 0.703 0.271 0.487 1
Br4 Br 0.744 0.757 0.504 1
Br5 Br 0.743 0.756 0.996 1
Br6 Br 0.771 0.203 0.987 1
Br7 Br 0.297 0.729 0.513 1
Br8 Br 0.256 0.243 0.496 1
Tl1 Tl 0.000 0.500 0.500 1
Tl2 Tl 0.000 0.500 0.000 1
Ga1 Ga 0.500 0.000 0.000 1
Ga2 Ga 0.000 0.000 0.500 1
Ga3 Ga 0.500 0.000 0.500 1
Ga4 Ga 0.500 0.500 0.000 1
Li1 Li 0.000 0.000 0.000 1
Li2 Li 0.500 0.500 0.500 1
```